The following is a DFT calculation (SCAN) of Ge3PI at its PBEsol-relaxed geometry.

Cell: 4.9217 4.9217 4.9217 Å, 90.00 90.00 90.00°
Closest atoms and distances in Å follow each position.
Sites, in units of the cell vectors:
Ge  0.0000  0.0000  0.5000  2 P 2.46
Ge  0.0000  0.5000  0.0000  2 P 2.46
Ge  0.5000  0.0000  0.0000  2 P 2.46
P  0.0000  0.0000  0.0000  6 Ge 2.46
I  0.5000  0.5000  0.5000  12 Ge 3.48

Results
Total magnetic moment ... 0.0 μB/f.u.
Symmetry ... No. 221
Uncorrected formation energy ... 745 meV/atom